Entry 1:
Density functional theory data (PBE) for Pm8InIr2 after structural relaxation.

Cell: 5.5831 8.1597 8.1597 Å, 113.76 97.23 97.23°
Last column: nearest neighbours and their distance in Å.
Positions (direct):
Pm: 0.9353 0.9288 0.6739  2 Ir 2.93-3.00
Pm: 0.5000 0.2505 0.7495  2 Ir 2.90
Pm: 0.3017 0.6095 0.6095  2 Ir 3.16, 4 Pm 3.27-3.48, 1 In 3.40
Pm: 0.9353 0.6739 0.9288  2 Ir 2.93-3.00
Pm: 0.0647 0.0712 0.3261  2 Ir 2.93-3.00
Pm: 0.5000 0.7495 0.2505  2 Ir 2.90
Pm: 0.0647 0.3261 0.0712  2 Ir 2.93-3.00
Pm: 0.6983 0.3905 0.3905  2 Ir 3.16, 4 Pm 3.27-3.48, 1 In 3.40
Ir: 0.0000 0.6931 0.3069  8 Pm 2.90-3.16
Ir: 0.0000 0.3069 0.6931  8 Pm 2.90-3.16
In: 0.5000 0.0000 0.0000  12 Pm 3.40-3.75

Properties
**DFT formation energy**: -3.80 eV/f.u.
**SG**: C2/m
**Spin magnetization**: 0.00 μB/f.u.
**Energy**: -5.66 eV per atom
**D(E_F)**: 13.711 states/eV per cell

Entry 2:
Density functional theory data (PBE) for Ca3UPa2As6 after structural relaxation.

Cell: 7.2267 7.2267 7.2628 Å, 99.55 99.55 119.99°
Last column: nearest neighbours and their distance in Å.
Positions (direct):
Pa: 0.3333 0.6667 0.0000  6 As 2.89
Pa: 0.6667 0.3333 0.0000  6 As 2.89
U: 0.0000 0.0000 0.0000  6 As 2.90-2.91
As: 0.2575 0.2575 0.7663  2 Pa 2.89, 1 U 2.91, 3 Ca 3.01-3.03
As: 0.5867 0.9222 0.7666  2 Pa 2.89, 1 U 2.90, 3 Ca 3.01-3.03
As: 0.0778 0.4133 0.2334  2 Pa 2.89, 1 U 2.90, 3 Ca 3.01-3.03
As: 0.4133 0.0778 0.2334  2 Pa 2.89, 1 U 2.90, 3 Ca 3.01-3.03
As: 0.9222 0.5867 0.7666  2 Pa 2.89, 1 U 2.90, 3 Ca 3.01-3.03
As: 0.7425 0.7425 0.2337  2 Pa 2.89, 1 U 2.91, 3 Ca 3.01-3.03
Ca: 0.5000 0.5000 0.5000  6 As 3.01-3.03
Ca: 0.1664 0.8336 0.5000  6 As 3.01-3.03
Ca: 0.8336 0.1664 0.5000  6 As 3.01-3.03

Properties
**DFT formation energy**: -13.09 eV/f.u.
**SG**: C2/m
**Spin magnetization**: 3.66 μB/f.u.
**Energy**: -6.44 eV per atom
**D(E_F)**: 15.256 states/eV per cell

Entry 3:
Density functional theory data (PBE) for NiRh3Br after structural relaxation.

Cell: 4.5640 4.5640 4.5640 Å, 90.00 90.00 90.00°
Last column: nearest neighbours and their distance in Å.
Positions (direct):
Rh: 0.0000 0.5000 0.0000  2 Br 2.28
Rh: 0.0000 0.0000 0.5000  2 Br 2.28
Rh: 0.5000 0.0000 0.0000  2 Br 2.28
Ni: 0.5000 0.5000 0.5000  12 Rh 3.23
Br: 0.0000 0.0000 0.0000  6 Rh 2.28

Properties
**SG**: Pm-3m
**Spin magnetization**: 1.87 μB/f.u.
**Energy**: -4.60 eV per atom
**D(E_F)**: 9.615 states/eV per cell
**E_form (uncorrected)**: 1.31 eV/atom

Entry 4:
Density functional theory data (PBE) for LiAl2Pt after structural relaxation.

Cell: 3.8954 3.8954 9.2155 Å, 77.80 77.80 90.00°
Last column: nearest neighbours and their distance in Å.
Positions (direct):
Pt: 0.0000 0.0000 0.0000  4 Al 2.58, 4 Li 2.75
Pt: 0.7500 0.2500 0.5000  4 Al 2.58, 4 Li 2.75
Al: 0.8750 0.8832 0.7500  2 Pt 2.58, 2 Li 2.61, 4 Al 2.71-2.80
Al: 0.6332 0.1250 0.2500  2 Pt 2.58, 2 Li 2.61, 4 Al 2.71-2.80
Al: 0.1168 0.6250 0.2500  2 Pt 2.58, 2 Li 2.61, 4 Al 2.71-2.80
Al: 0.3750 0.3668 0.7500  2 Pt 2.58, 2 Li 2.61, 4 Al 2.71-2.80
Li: 0.2500 0.7500 0.5000  4 Al 2.61, 4 Pt 2.75
Li: 0.5000 0.5000 0.0000  4 Al 2.61, 4 Pt 2.75

Properties
**DFT formation energy**: -1.04 eV/f.u.
**SG**: I-42d
**Spin magnetization**: 0.00 μB/f.u.
**Energy**: -4.12 eV per atom
**D(E_F)**: 3.370 states/eV per cell

Entry 5:
Density functional theory data (PBE) for PuMnCoTc after structural relaxation.

Cell: 4.4509 4.4509 4.4509 Å, 60.00 60.00 60.00°
Last column: nearest neighbours and their distance in Å.
Positions (direct):
Mn: 0.7500 0.7500 0.7500  4 Tc 2.73, 4 Co 2.73
Co: 0.0000 0.0000 0.0000  4 Pu 2.73, 4 Mn 2.73
Tc: 0.5000 0.5000 0.5000  4 Mn 2.73, 4 Pu 2.73
Pu: 0.2500 0.2500 0.2500  4 Tc 2.73, 4 Co 2.73

Properties
**DFT formation energy**: 0.56 eV/f.u.
**SG**: F-43m
**Spin magnetization**: 7.91 μB/f.u.
**Energy**: -10.10 eV per atom
**D(E_F)**: 6.378 states/eV per cell

Entry 6:
Density functional theory data (PBE) for BaScRh after structural relaxation.

Cell: 4.2001 4.2001 6.1426 Å, 90.00 90.00 120.00°
Last column: nearest neighbours and their distance in Å.
Positions (direct):
Sc: 0.3333 0.6667 0.4579  3 Rh 2.58
Ba: 0.0000 0.0000 0.9393  3 Rh 3.19
Rh: 0.6667 0.3333 0.6028  3 Sc 2.58

Properties
**DFT formation energy**: -0.73 eV/f.u.
**SG**: P3m1
**Spin magnetization**: 0.00 μB/f.u.
**Energy**: -5.44 eV per atom
**D(E_F)**: 1.362 states/eV per cell

Entry 7:
Density functional theory data (PBE) for Al2TlRhSe after structural relaxation.

Cell: 4.7536 5.7046 4.7536 Å, 90.00 90.00 90.00°
Last column: nearest neighbours and their distance in Å.
Positions (direct):
Se: 0.0000 0.0000 0.0000  4 Al 2.38
Tl: 0.0000 0.5000 0.0000  2 Se 2.85
Al: 0.0000 0.0000 0.5000  2 Se 2.38
Al: 0.5000 0.0000 0.0000  2 Se 2.38
Rh: 0.5000 0.5000 0.5000  4 Tl 3.36, 8 Al 3.71

Properties
**SG**: P4/mmm
**Spin magnetization**: 0.00 μB/f.u.
**Energy**: -3.22 eV per atom
**D(E_F)**: 3.660 states/eV per cell
**E_form (uncorrected)**: 0.92 eV/atom

Entry 8:
Density functional theory data (PBE) for BaZr2Se4 after structural relaxation.

Cell: 4.1378 6.8177 13.6632 Å, 90.00 90.00 107.67°
Last column: nearest neighbours and their distance in Å.
Positions (direct):
Se: 0.9260 0.8520 0.7500  2 Zr 2.67
Se: 0.2380 0.4761 0.8940  3 Zr 2.73-2.84
Se: 0.7620 0.5239 0.1060  3 Zr 2.73-2.84
Se: 0.0740 0.1480 0.2500  2 Zr 2.67
Se: 0.7620 0.5239 0.3940  3 Zr 2.73-2.84
Se: 0.2380 0.4761 0.6060  3 Zr 2.73-2.84
Se: 0.5000 0.0000 0.0000  4 Zr 2.72
Se: 0.5000 0.0000 0.5000  4 Zr 2.72
Zr: 0.1201 0.2403 0.0597  6 Se 2.67-2.84
Zr: 0.1201 0.2403 0.4403  6 Se 2.67-2.84
Zr: 0.8799 0.7597 0.5597  6 Se 2.67-2.84
Zr: 0.8799 0.7597 0.9403  6 Se 2.67-2.84
Ba: 0.3820 0.7640 0.2500  6 Se 3.24-3.25
Ba: 0.6180 0.2360 0.7500  6 Se 3.24-3.25

Properties
**SG**: Cmcm
**Spin magnetization**: 0.00 μB/f.u.
**Energy**: -6.19 eV per atom
**D(E_F)**: 5.343 states/eV per cell
**E_form (uncorrected)**: -1.48 eV/atom

Entry 9:
Density functional theory data (PBE) for Ga2Ir2Au after structural relaxation.

Cell: 3.7272 3.7272 6.5718 Å, 73.53 73.53 90.00°
Last column: nearest neighbours and their distance in Å.
Positions (direct):
Ir: 0.6074 0.6074 0.7852  4 Ga 2.53, 1 Ir 2.59
Ir: 0.3926 0.3926 0.2148  4 Ga 2.53, 1 Ir 2.59
Au: 0.0000 0.0000 0.0000  8 Ir 2.94
Ga: 0.2500 0.7500 0.5000  4 Ir 2.53, 4 Ga 2.64
Ga: 0.7500 0.2500 0.5000  4 Ir 2.53, 4 Ga 2.64

Properties
**DFT formation energy**: 0.08 eV/f.u.
**SG**: I4/mmm
**Spin magnetization**: 0.00 μB/f.u.
**Energy**: -5.39 eV per atom
**D(E_F)**: 4.319 states/eV per cell

Entry 10:
Density functional theory data (PBE) for LiCa2Ta after structural relaxation.

Cell: 3.3370 5.7739 5.3290 Å, 90.00 90.00 90.00°
Last column: nearest neighbours and their distance in Å.
Positions (direct):
Ca: 0.0000 0.0000 0.0000  4 Li 3.14, 6 Ca 3.33-3.34
Ca: 0.5000 0.5000 0.0000  4 Ta 3.14, 6 Ca 3.33-3.34
Li: 0.5000 0.0000 0.5000  4 Ca 3.14, 4 Ta 3.33, 2 Li 3.34
Ta: 0.0000 0.5000 0.5000  4 Ca 3.14, 4 Li 3.33, 2 Ta 3.34

Properties
**DFT formation energy**: 3.28 eV/f.u.
**SG**: Pmmm
**Spin magnetization**: 0.01 μB/f.u.
**Energy**: -3.62 eV per atom
**D(E_F)**: 5.678 states/eV per cell

Entry 11:
Density functional theory data (PBE) for TaTc2As2 after structural relaxation.

Cell: 7.2058 7.2058 2.9886 Å, 90.00 90.00 90.00°
Last column: nearest neighbours and their distance in Å.
Positions (direct):
As: 0.6548 0.1548 0.0000  6 Tc 2.53-2.62, 2 Ta 2.73
As: 0.3452 0.8452 0.0000  6 Tc 2.53-2.62, 2 Ta 2.73
As: 0.1548 0.3452 0.0000  6 Tc 2.53-2.62, 2 Ta 2.73
As: 0.8452 0.6548 0.0000  6 Tc 2.53-2.62, 2 Ta 2.73
Ta: 0.5000 0.5000 0.0000  4 As 2.73, 2 Ta 2.99
Ta: 0.0000 0.0000 0.0000  4 As 2.73, 2 Ta 2.99
Tc: 0.1444 0.6444 0.5000  6 As 2.53-2.62
Tc: 0.6444 0.8556 0.5000  6 As 2.53-2.62
Tc: 0.3556 0.1444 0.5000  6 As 2.53-2.62
Tc: 0.8556 0.3556 0.5000  6 As 2.53-2.62

Properties
**DFT formation energy**: -0.01 eV/f.u.
**SG**: P4/mbm
**Spin magnetization**: 0.00 μB/f.u.
**Energy**: -8.38 eV per atom
**D(E_F)**: 9.936 states/eV per cell

Entry 12:
Density functional theory data (PBE) for GaAsO3 after structural relaxation.

Cell: 2.9257 5.2546 12.8384 Å, 116.78 90.00 106.16°
Last column: nearest neighbours and their distance in Å.
Positions (direct):
Ga: 0.6224 0.2448 0.9239  5 O 1.93-2.00
Ga: 0.3776 0.7552 0.0761  5 O 1.93-2.00
O: 0.3131 0.6261 0.6296  2 As 1.86
O: 0.9688 0.9375 0.1953  1 As 1.81, 2 Ga 2.00
O: 0.6869 0.3739 0.3704  2 As 1.86
O: 0.0312 0.0625 0.8047  1 As 1.81, 2 Ga 2.00
O: 0.1613 0.3227 0.0321  3 Ga 1.93-1.98
O: 0.8387 0.6773 0.9679  3 Ga 1.93-1.98
As: 0.9351 0.8703 0.6450  3 O 1.81-1.86
As: 0.0649 0.1297 0.3550  3 O 1.81-1.86

Properties
**SG**: C2/m
**Spin magnetization**: 0.00 μB/f.u.
**Energy**: -5.86 eV per atom
**D(E_F)**: 0.000 states/eV per cell
**E_form (uncorrected)**: -1.35 eV/atom